(1)
16
Lattice="5.6054 0.3086 0.0004 -1.3411 5.4513 0.0004 -1.7696 -2.3903 6.4648" Properties=species:S:1:pos:R:3 comment="AlVCdO5, optimized geometry, DFT PBE with a Hubbard U" spacegroup="C2/c, No. 15" vol_a3_per_cell=200.2 e_tot_ev_per_atom=-6.605 pbc="T T T"
O 3.8866 -1.1942 4.8490
O 4.1867 1.5931 0.5693
O -1.6921 1.7766 5.8963
O -0.0518 0.4441 3.9383
O -0.5833 3.2743 3.8017
O 1.1700 2.0944 5.7597
O 3.0780 0.0954 2.6639
O 1.3247 1.2752 0.7059
O 2.5465 2.9256 2.5273
O -1.3919 4.5639 1.6166
Al 0.0000 0.0000 0.0000
Al -0.8848 -1.1951 3.2324
Cd 0.3444 3.2784 1.6166
Cd 2.1503 0.0913 4.8490
V 2.7929 1.4657 1.6166
V -0.2983 1.9040 4.8490

***

(2)
12
Lattice="5.7262 0.1864 0.0000 -2.3727 5.2148 0.0000 -1.6768 -2.7006 4.7665" Properties=species:S:1:pos:R:3 comment="AlV2CdO8, optimized geometry, DFT PBE with a Hubbard U" spacegroup="I-4m2, No. 119" vol_a3_per_cell=144.4 e_tot_ev_per_atom=-6.528 pbc="T T T"
O 0.2743 2.4039 1.0349
O 3.0040 -1.3773 3.2786
O 1.4827 -0.4327 1.4879
O 3.0792 2.9973 1.0349
O -0.3561 1.3886 3.7316
O 2.7222 1.5636 3.2786
O 4.2435 0.6190 1.4879
O 0.3561 -1.3886 3.7316
V 2.8631 0.0932 2.3832
V 1.6768 2.7006 0.0000
Cd 0.0000 0.0000 0.0000
Al -1.1863 2.6074 2.3832

***

(3)
20
Lattice="-2.5487 3.4191 3.1017 -4.6737 -2.1116 -1.5127 0.3736 -4.9107 5.7005" Properties=species:S:1:pos:R:3 comment="AlVCd2O6, optimized geometry, DFT PBE with a Hubbard U" spacegroup="P2_1/c, No. 14" vol_a3_per_cell=212.4 e_tot_ev_per_atom=-6.036 pbc="T T T"
O -2.8128 -2.9074 7.2251
O -1.3303 -1.9832 2.9519
O -5.3580 -3.6571 6.7328
O -5.5185 -1.6200 4.3376
O -2.9498 -0.8597 4.8375
O -3.8990 -2.7435 2.4520
O -4.0360 -0.6957 0.0643
O -1.4793 0.7069 3.1932
O -1.4907 0.0539 0.5566
O -5.3695 -4.3101 4.0963
O -4.6868 0.8234 3.4907
O -2.1620 -4.4265 3.7987
Cd -4.4448 -3.2472 -0.0228
Cd -3.4982 -3.0740 5.0367
Cd -2.4040 -0.3560 7.3123
Cd -3.3506 -0.5292 2.2527
Al -1.2743 1.7095 1.5508
Al -2.1501 -3.5111 2.0939
V -1.0876 -0.7458 4.4011
V -2.3368 -1.0558 -0.7564